No. 1
10
Lattice="-2.000 -5.286 1.128 3.674 -4.277 1.194 0.315 -2.119 5.350" Properties=species:S:1:pos:R:3 comment="Sr2InSbO6 | the Alexandria database | SCAN | single point on PBEsol structure" magnetic_moment_mub_per_cell=0.0 space_group="Fm-3m, No. 225" final_energy_ev_per_cell=-176.38 density_g_cm3=6.231 e_form_raw_ev_per_atom=-2.379 pbc="T T T"
Sr 1.492 -8.761 5.753
O 1.323 -7.640 3.103
O 0.666 -4.042 4.568
Sr 0.497 -2.920 1.918
Sb 0.994 -5.841 3.835
In 0.000 0.000 0.000
O 2.290 -5.085 2.558
O 2.442 -6.109 5.145
O -0.453 -5.572 2.526
O -0.301 -6.597 5.113

***

No. 2
4
Lattice="-0.119 4.180 -1.597 -2.959 1.100 -3.174 -3.451 2.675 0.987" Properties=species:S:1:pos:R:3 comment="LaMn2Tc | the Alexandria database | SCAN | single point on PBEsol structure" magnetic_moment_mub_per_cell=6.2 e_form_ev_per_atom=0.41 space_group="F-43m, No. 216" final_energy_ev_per_cell=-113.02 density_g_cm3=9.078 pbc="T T T"
Tc -3.264 3.978 -1.892
Mn -4.896 5.967 -2.837
La -1.632 1.989 -0.946
Mn 0.000 0.000 0.000

***

No. 3
4
Lattice="-3.282 0.433 0.343 0.847 -2.441 -4.967 -0.254 -4.667 3.471" Properties=species:S:1:pos:R:3 comment="LaZrIn2 | the Alexandria database | SCAN | single point on PBEsol structure" magnetic_moment_mub_per_cell=0.0 e_form_ev_per_atom=-0.25 space_group="C2/m, No. 12" final_energy_ev_per_cell=-141.57 density_g_cm3=7.514 pbc="T T T"
Zr -1.641 0.217 0.171
In -2.253 -4.597 0.395
La -0.127 -2.334 1.736
In -0.436 -2.077 -1.549

***

No. 4
4
Lattice="-1.411 -2.659 3.337 1.153 -4.343 0.053 4.607 -1.052 4.136" Properties=species:S:1:pos:R:3 comment="SrLiAl2 | the Alexandria database | SCAN | single point on PBEsol structure" magnetic_moment_mub_per_cell=0.0 e_form_ev_per_atom=-0.17 space_group="R-3m, No. 166" final_energy_ev_per_cell=-40.87 density_g_cm3=2.466 pbc="T T T"
Al 2.500 -6.248 5.157
Li 2.174 -4.027 3.763
Sr 0.000 0.000 0.000
Al 1.849 -1.805 2.369

***

No. 5
28
Lattice="-2.063 -0.223 4.337 1.209 -5.823 0.276 9.172 2.116 4.472" Properties=species:S:1:pos:R:3 comment="LiScSiO4 | the Alexandria database | SCAN | single point on PBEsol structure" magnetic_moment_mub_per_cell=0.0 space_group="Pnma, No. 62" final_energy_ev_per_cell=-297.52 density_g_cm3=3.206 e_form_raw_ev_per_atom=-3.259 pbc="T T T"
Sc 0.762 -1.097 5.611
Li 0.604 -2.911 0.138
Li 3.554 0.947 4.405
Si 5.584 -0.221 2.995
O 4.291 -0.350 5.915
O 3.990 -0.554 2.931
O 1.519 -2.396 2.114
O 6.246 -1.323 4.054
O 2.072 -2.607 5.031
Sc 7.555 -2.832 3.474
Sc 6.361 0.070 5.719
O 4.026 -3.579 3.170
O 8.366 0.481 5.609
Si 2.734 -3.709 6.091
O 7.310 -4.001 7.088
O 6.798 -1.534 6.971
O 5.734 1.145 3.937
O -0.049 -4.410 3.476
Sc 1.957 -3.999 3.366
O 2.584 -5.074 5.148
Si 0.237 -1.361 2.358
Li 0.000 0.000 0.000
O -0.377 -1.417 3.851
O 4.327 -3.375 6.154
Si 8.081 -2.569 6.727
O 8.694 -2.512 5.234
Li 4.159 -1.965 4.543
O 1.007 0.072 1.997

***

No. 6
28
Lattice="-2.204 0.229 3.511 5.900 -10.241 4.373 10.590 8.697 6.078" Properties=species:S:1:pos:R:3 comment="BaDy2Se4 | the Alexandria database | SCAN | single point on PBEsol structure" magnetic_moment_mub_per_cell=0.0 space_group="Pnma, No. 62" final_energy_ev_per_cell=-924.29 density_g_cm3=6.591 e_form_raw_ev_per_atom=-2.231 pbc="T T T"
Dy 5.162 4.592 6.621
Dy 5.847 -2.220 7.497
Ba 9.822 4.673 7.087
Dy 8.440 0.906 6.465
Ba 3.322 0.618 5.727
Se 7.919 -0.778 8.703
Se 5.685 -8.641 5.360
Se 2.409 -0.642 2.781
Se 3.465 -2.825 6.041
Dy 9.125 -5.907 7.341
Se 7.104 2.950 7.948
Se 7.180 6.063 5.338
Se 11.877 -0.673 11.181
Se 6.367 -0.537 5.259
Se 7.183 -4.265 6.014
Dy -0.119 0.424 3.579
Dy 14.405 -1.739 10.382
Se 9.044 -4.200 9.633
Se 8.601 7.326 8.602
Dy 2.999 -3.395 3.332
Se 10.821 1.510 7.921
Se 7.106 -7.378 8.624
Dy 11.287 2.080 10.630
Se 3.410 -6.163 3.771
Ba 4.464 -5.987 6.875
Ba 10.964 -1.933 8.235
Se 10.876 4.848 10.191
Se 5.243 2.885 4.329

***

No. 7
4
Lattice="2.560 0.000 0.000 0.000 3.478 0.000 0.000 0.000 5.061" Properties=species:S:1:pos:R:3 comment="Co2CuTc | the Alexandria database | SCAN | single point on PBEsol structure" magnetic_moment_mub_per_cell=0.0 e_form_ev_per_atom=0.29 space_group="Pmmm, No. 47" final_energy_ev_per_cell=-83.71 density_g_cm3=10.296 pbc="T T T"
Co 0.000 0.000 3.795
Tc 1.280 1.739 2.531
Co 0.000 0.000 1.266
Cu 1.280 1.739 0.000

***

No. 8
4
Lattice="2.491 0.000 0.000 0.000 4.150 -0.160 -1.245 -1.400 4.078" Properties=species:S:1:pos:R:3 comment="BeFeCu2 | the Alexandria database | SCAN | single point on PBEsol structure" magnetic_moment_mub_per_cell=2.5 e_form_ev_per_atom=0.03 space_group="Cm, No. 8" final_energy_ev_per_cell=-52.75 density_g_cm3=7.661 pbc="T T T"
Be 1.246 0.496 1.938
Fe 0.000 0.538 3.866
Cu 0.000 4.028 -0.002
Cu 0.000 2.514 1.955

***

No. 9
4
Lattice="2.810 0.000 0.000 0.000 4.682 0.006 0.000 -1.325 4.490" Properties=species:S:1:pos:R:3 comment="InRh3 | the Alexandria database | SCAN | single point on PBEsol structure" magnetic_moment_mub_per_cell=0.0 e_form_ev_per_atom=-0.13 space_group="Cmmm, No. 65" final_energy_ev_per_cell=-135.20 density_g_cm3=11.902 pbc="T T T"
Rh 0.000 1.678 2.248
In 0.000 0.000 0.000
Rh 1.405 -0.662 2.245
Rh 1.405 2.341 0.003

***

No. 10
5
Lattice="-3.704 -0.616 0.965 -0.710 -1.331 -3.571 1.069 -4.270 1.378" Properties=species:S:1:pos:R:3 comment="BiB2PtO | the Alexandria database | SCAN | single point on PBEsol structure" magnetic_moment_mub_per_cell=0.0 space_group="P4/mmm, No. 123" final_energy_ev_per_cell=-163.32 density_g_cm3=10.581 e_form_raw_ev_per_atom=1.308 pbc="T T T"
Bi 0.535 -2.135 0.689
B -1.852 -0.308 0.483
B -0.355 -0.665 -1.786
Pt -1.672 -3.108 -0.614
O 0.000 0.000 0.000

***

No. 11
4
Lattice="3.137 0.000 0.000 1.569 2.717 0.000 1.569 0.906 9.071" Properties=species:S:1:pos:R:3 comment="Hg2MoAs | the Alexandria database | SCAN | single point on PBEsol structure" magnetic_moment_mub_per_cell=0.0 e_form_ev_per_atom=0.21 space_group="R3m, No. 160" final_energy_ev_per_cell=-190.59 density_g_cm3=12.285 pbc="T T T"
Hg 4.706 2.717 6.615
As 1.569 0.906 2.616
Hg 4.706 2.717 0.052
Mo 3.137 1.811 4.325

***

No. 12
10
Lattice="2.975 0.000 0.000 0.000 6.781 0.000 0.000 0.000 6.781" Properties=species:S:1:pos:R:3 comment="TiSi2Tc2 | the Alexandria database | SCAN | single point on PBEsol structure" magnetic_moment_mub_per_cell=0.0 space_group="P4/mbm, No. 127" final_energy_ev_per_cell=-217.92 density_g_cm3=7.283 e_form_raw_ev_per_atom=-0.556 pbc="T T T"
Si 0.000 0.935 2.455
Si 0.000 5.846 4.326
Si 0.000 2.455 5.846
Tc 1.488 5.725 2.334
Tc 1.488 1.056 4.447
Si 0.000 4.326 0.935
Ti 0.000 3.391 3.391
Tc 1.488 2.334 1.056
Ti 0.000 0.000 0.000
Tc 1.488 4.447 5.725

***

Q: Number 11 is which compound?
A: Hg2MoAs

***

Copy entry 8 word for word.
4
Lattice="2.491 0.000 0.000 0.000 4.150 -0.160 -1.245 -1.400 4.078" Properties=species:S:1:pos:R:3 comment="BeFeCu2 | the Alexandria database | SCAN | single point on PBEsol structure" magnetic_moment_mub_per_cell=2.5 e_form_ev_per_atom=0.03 space_group="Cm, No. 8" final_energy_ev_per_cell=-52.75 density_g_cm3=7.661 pbc="T T T"
Be 1.246 0.496 1.938
Fe 0.000 0.538 3.866
Cu 0.000 4.028 -0.002
Cu 0.000 2.514 1.955